Entry 1:
DFT (PBE) results for a relaxed SrDyY crystal.

extended XYZ file:
```
6
Lattice="5.538 0.000 0.000 0.000 3.731 0.000 0.000 1.865 11.106" Properties=species:S:1:pos:R:3 pbc="T T T"
Dy 4.154 3.731 10.285
Dy 1.385 1.865 0.821
Y 4.154 3.731 2.201
Y 1.385 1.866 8.905
Sr 4.154 3.731 6.697
Sr 1.385 1.865 4.409
```



Entry 2:
DFT (PBE) results for a relaxed BeTcRuCCl crystal.

extended XYZ file:
```
10
Lattice="-0.306 2.868 -0.048 -2.836 -0.307 -0.274 -1.559 0.104 16.009" Properties=species:S:1:pos:R:3 pbc="T T T"
Ru -1.619 -0.140 1.926
Ru -0.980 0.065 10.068
Tc -3.110 1.383 15.650
Tc -0.913 1.484 7.782
Be -0.487 1.456 3.409
Be -2.685 1.354 11.276
C -0.051 0.003 0.524
C -2.248 -0.098 8.391
Cl -2.882 1.367 13.305
Cl -0.685 1.469 5.438
```

formation energy from raw total energies: 0.144 eV/atom



Entry 3:
DFT (PBE) results for a relaxed CsCa3O crystal.

extended XYZ file:
```
5
Lattice="-2.480 2.027 5.141 -4.051 -4.499 -0.180 3.759 -3.512 3.198" Properties=species:S:1:pos:R:3 pbc="T T T"
Ca -1.240 1.014 2.570
Ca -2.025 -2.250 -0.090
Ca 1.879 -1.756 1.599
Cs 0.000 0.000 0.000
O -1.386 -2.992 4.080
```

formation energy from raw total energies: 1.456 eV/atom



Asked for total magnetic moment across the records above, the calculation gives 0.000, 0.000, 4.180 μB/cell in order.
Asked for energy relative to the lowest polymorph listed for this composition across the records above, the calculation gives 0.000, 0.040, 1.994 eV/atom in order.
Asked for calculated volume across the records above, the calculation gives 229.48, 132.96, 222.22 Å³/cell in order.